(P)
# Ac2AsPt | Alexandria via LeMat-Bulk | PBE | relaxed
data_Ac2AsPt
_chemical_formula_sum 'Ac2 As1 Pt1'
_cell_length_a 3.859
_cell_length_b 3.859
_cell_length_c 7.530
_cell_angle_alpha 90.00
_cell_angle_beta 90.00
_cell_angle_gamma 90.00
_symmetry_space_group_name_H-M 'P 4/m m m'
_symmetry_Int_Tables_number 123
_symmetry_space_group_name_Hall '-P 4 2'
loop_
_atom_site_label
_atom_site_type_symbol
_atom_site_fract_x
_atom_site_fract_y
_atom_site_fract_z
_atom_site_occupancy
Ac1 Ac 0.000 0.000 0.249 1
As1 As 0.500 0.500 0.500 1
Pt1 Pt 0.500 0.500 0.000 1
# * Fermi-level density of states: 2.43 states/eV/f.u.

(Q)
# Ac2AsPt | Alexandria via LeMat-Bulk | PBE | relaxed
data_Ac2AsPt
_chemical_formula_sum 'Ac8 As4 Pt4'
_cell_length_a 7.664
_cell_length_b 7.664
_cell_length_c 7.664
_cell_angle_alpha 90.00
_cell_angle_beta 90.00
_cell_angle_gamma 90.00
_symmetry_space_group_name_H-M 'F m -3 m'
_symmetry_Int_Tables_number 225
_symmetry_space_group_name_Hall '-F 4 2 3'
loop_
_atom_site_label
_atom_site_type_symbol
_atom_site_fract_x
_atom_site_fract_y
_atom_site_fract_z
_atom_site_occupancy
Ac1 Ac 0.250 0.250 0.250 1
As1 As 0.000 0.000 0.000 1
Pt1 Pt 0.000 0.000 0.500 1
# * Fermi-level density of states: 3.98 states/eV/f.u.

Decreasing stability: (P), (Q)

(P)
# AcAs2Pt | Alexandria via LeMat-Bulk | PBE | relaxed
data_AcAs2Pt
_chemical_formula_sum 'Ac3 As6 Pt3'
_cell_length_a 5.5056
_cell_length_b 5.5056
_cell_length_c 10.9963
_cell_angle_alpha 90.00
_cell_angle_beta 90.00
_cell_angle_gamma 120.00
_symmetry_space_group_name_H-M 'R -3 m'
_symmetry_Int_Tables_number 166
_symmetry_space_group_name_Hall '-R 3 2"'
loop_
_atom_site_label
_atom_site_type_symbol
_atom_site_fract_x
_atom_site_fract_y
_atom_site_fract_z
_atom_site_occupancy
Ac1 Ac 0.0000 0.0000 0.0000 1
As1 As 0.0000 0.0000 0.2802 1
Pt1 Pt 0.0000 0.0000 0.5000 1
# * Fermi-level density of states: 4.20 states/eV/f.u.

(Q)
# AcAs2Pt | Alexandria via LeMat-Bulk | PBE | relaxed
data_AcAs2Pt
_chemical_formula_sum 'Ac1 As2 Pt1'
_cell_length_a 4.562
_cell_length_b 4.562
_cell_length_c 4.368
_cell_angle_alpha 90.00
_cell_angle_beta 90.00
_cell_angle_gamma 90.00
_symmetry_space_group_name_H-M 'P 4/m m m'
_symmetry_Int_Tables_number 123
_symmetry_space_group_name_Hall '-P 4 2'
loop_
_atom_site_label
_atom_site_type_symbol
_atom_site_fract_x
_atom_site_fract_y
_atom_site_fract_z
_atom_site_occupancy
Ac1 Ac 0.000 0.000 0.000 1
As1 As 0.000 0.500 0.500 1
Pt1 Pt 0.500 0.500 0.000 1
# * Fermi-level density of states: 2.56 states/eV/f.u.

Decreasing stability: (P), (Q)

(P)
# AcAsPt3 | Alexandria via LeMat-Bulk | PBE | relaxed
data_AcAsPt3
_chemical_formula_sum 'Ac1 As1 Pt3'
_cell_length_a 4.834
_cell_length_b 4.834
_cell_length_c 4.834
_cell_angle_alpha 90.00
_cell_angle_beta 90.00
_cell_angle_gamma 90.00
_symmetry_space_group_name_H-M 'P m -3 m'
_symmetry_Int_Tables_number 221
_symmetry_space_group_name_Hall '-P 4 2 3'
loop_
_atom_site_label
_atom_site_type_symbol
_atom_site_fract_x
_atom_site_fract_y
_atom_site_fract_z
_atom_site_occupancy
Ac1 Ac 0.000 0.000 0.000 1
As1 As 0.500 0.500 0.500 1
Pt1 Pt 0.000 0.500 0.500 1
# * Fermi-level density of states: 0.96 states/eV/f.u.

(Q)
# AcAsPt3 | Alexandria via LeMat-Bulk | PBE | relaxed
data_AcAsPt3
_chemical_formula_sum 'Ac4 As4 Pt12'
_cell_length_a 6.007
_cell_length_b 6.015
_cell_length_c 11.322
_cell_angle_alpha 90.00
_cell_angle_beta 90.00
_cell_angle_gamma 90.00
_symmetry_space_group_name_H-M 'F m m 2'
_symmetry_Int_Tables_number 42
_symmetry_space_group_name_Hall 'F 2 -2'
loop_
_atom_site_label
_atom_site_type_symbol
_atom_site_fract_x
_atom_site_fract_y
_atom_site_fract_z
_atom_site_occupancy
Ac1 Ac 0.000 0.000 0.000 1
As1 As 0.000 0.000 0.635 1
Pt1 Pt 0.000 0.000 0.418 1
Pt2 Pt 0.250 0.250 0.253 1
# * Fermi-level density of states: 3.63 states/eV/f.u.

Decreasing stability: (Q), (P)

(P)
# AcPuAs2 | Alexandria via LeMat-Bulk | PBE | relaxed
data_AcPuAs2
_chemical_formula_sum 'Ac3 Pu3 As6'
_cell_length_a 4.3491
_cell_length_b 4.3491
_cell_length_c 21.2138
_cell_angle_alpha 90.00
_cell_angle_beta 90.00
_cell_angle_gamma 120.00
_symmetry_space_group_name_H-M 'R -3 m'
_symmetry_Int_Tables_number 166
_symmetry_space_group_name_Hall '-R 3 2"'
loop_
_atom_site_label
_atom_site_type_symbol
_atom_site_fract_x
_atom_site_fract_y
_atom_site_fract_z
_atom_site_occupancy
Ac1 Ac 0.0000 0.0000 0.0000 1
Pu1 Pu 0.0000 0.0000 0.5000 1
As1 As 0.0000 0.0000 0.2409 1
# * Fermi-level density of states: 12.54 states/eV/f.u.

(Q)
# AcPuAs2 | Alexandria via LeMat-Bulk | PBE | relaxed
data_AcPuAs2
_chemical_formula_sum 'Ac1 Pu1 As2'
_cell_length_a 3.715
_cell_length_b 3.715
_cell_length_c 7.376
_cell_angle_alpha 90.00
_cell_angle_beta 90.00
_cell_angle_gamma 90.00
_symmetry_space_group_name_H-M 'P 4/m m m'
_symmetry_Int_Tables_number 123
_symmetry_space_group_name_Hall '-P 4 2'
loop_
_atom_site_label
_atom_site_type_symbol
_atom_site_fract_x
_atom_site_fract_y
_atom_site_fract_z
_atom_site_occupancy
Ac1 Ac 0.000 0.000 0.000 1
Pu1 Pu 0.000 0.000 0.500 1
As1 As 0.500 0.500 0.271 1
# * Fermi-level density of states: 10.64 states/eV/f.u.

Decreasing stability: (P), (Q)

(P)
# AcPuAs2 | Alexandria via LeMat-Bulk | PBE | relaxed
data_AcPuAs2
_chemical_formula_sum 'Ac4 Pu4 As8'
_cell_length_a 7.455
_cell_length_b 7.455
_cell_length_c 7.455
_cell_angle_alpha 90.00
_cell_angle_beta 90.00
_cell_angle_gamma 90.00
_symmetry_space_group_name_H-M 'F m -3 m'
_symmetry_Int_Tables_number 225
_symmetry_space_group_name_Hall '-F 4 2 3'
loop_
_atom_site_label
_atom_site_type_symbol
_atom_site_fract_x
_atom_site_fract_y
_atom_site_fract_z
_atom_site_occupancy
Ac1 Ac 0.000 0.000 0.000 1
Pu1 Pu 0.000 0.000 0.500 1
As1 As 0.250 0.250 0.250 1
# * Fermi-level density of states: 12.42 states/eV/f.u.

(Q)
# AcPuAs2 | Alexandria via LeMat-Bulk | PBE | relaxed
data_AcPuAs2
_chemical_formula_sum 'Ac3 Pu3 As6'
_cell_length_a 4.2824
_cell_length_b 4.2824
_cell_length_c 22.0564
_cell_angle_alpha 90.00
_cell_angle_beta 90.00
_cell_angle_gamma 120.00
_symmetry_space_group_name_H-M 'R 3 m'
_symmetry_Int_Tables_number 160
_symmetry_space_group_name_Hall 'R 3 -2"'
loop_
_atom_site_label
_atom_site_type_symbol
_atom_site_fract_x
_atom_site_fract_y
_atom_site_fract_z
_atom_site_occupancy
Ac1 Ac 0.0000 0.0000 0.0000 1
Pu1 Pu 0.0000 0.0000 0.1712 1
As1 As 0.0000 0.0000 0.5771 1
As2 As 0.0000 0.0000 0.7623 1
# * Fermi-level density of states: 12.23 states/eV/f.u.

Decreasing stability: (Q), (P)

(P)
# AcPu2As | Alexandria via LeMat-Bulk | PBE | relaxed
data_AcPu2As
_chemical_formula_sum 'Ac1 Pu2 As1'
_cell_length_a 4.604
_cell_length_b 4.604
_cell_length_c 5.113
_cell_angle_alpha 90.00
_cell_angle_beta 90.00
_cell_angle_gamma 90.00
_symmetry_space_group_name_H-M 'P 4/m m m'
_symmetry_Int_Tables_number 123
_symmetry_space_group_name_Hall '-P 4 2'
loop_
_atom_site_label
_atom_site_type_symbol
_atom_site_fract_x
_atom_site_fract_y
_atom_site_fract_z
_atom_site_occupancy
Ac1 Ac 0.000 0.000 0.000 1
Pu1 Pu 0.000 0.500 0.500 1
As1 As 0.500 0.500 0.000 1
# * Fermi-level density of states: 11.04 states/eV/f.u.

(Q)
# AcPu2As | Alexandria via LeMat-Bulk | PBE | relaxed
data_AcPu2As
_chemical_formula_sum 'Ac3 Pu6 As3'
_cell_length_a 3.7852
_cell_length_b 3.7852
_cell_length_c 32.1255
_cell_angle_alpha 90.00
_cell_angle_beta 90.00
_cell_angle_gamma 120.00
_symmetry_space_group_name_H-M 'R -3 m'
_symmetry_Int_Tables_number 166
_symmetry_space_group_name_Hall '-R 3 2"'
loop_
_atom_site_label
_atom_site_type_symbol
_atom_site_fract_x
_atom_site_fract_y
_atom_site_fract_z
_atom_site_occupancy
Ac1 Ac 0.0000 0.0000 0.0000 1
Pu1 Pu 0.0000 0.0000 0.1090 1
As1 As 0.0000 0.0000 0.5000 1
# * Fermi-level density of states: 18.38 states/eV/f.u.

Decreasing stability: (P), (Q)

(P)
# AcPuAsS | Alexandria via LeMat-Bulk | PBE | relaxed
data_AcPuAsS
_chemical_formula_sum 'Ac4 Pu4 As4 S4'
_cell_length_a 7.352
_cell_length_b 7.352
_cell_length_c 7.352
_cell_angle_alpha 90.00
_cell_angle_beta 90.00
_cell_angle_gamma 90.00
_symmetry_space_group_name_H-M 'F -4 3 m'
_symmetry_Int_Tables_number 216
_symmetry_space_group_name_Hall 'F -4 2 3'
loop_
_atom_site_label
_atom_site_type_symbol
_atom_site_fract_x
_atom_site_fract_y
_atom_site_fract_z
_atom_site_occupancy
Ac1 Ac 0.000 0.000 0.000 1
Pu1 Pu 0.000 0.000 0.500 1
As1 As 0.250 0.250 0.250 1
S1 S 0.250 0.250 0.750 1
# * Fermi-level density of states: 5.61 states/eV/f.u.

(Q)
# AcPuAsS | Alexandria via LeMat-Bulk | PBE | relaxed
data_AcPuAsS
_chemical_formula_sum 'Ac3 Pu3 As3 S3'
_cell_length_a 4.1894
_cell_length_b 4.1894
_cell_length_c 22.2491
_cell_angle_alpha 90.00
_cell_angle_beta 90.00
_cell_angle_gamma 120.00
_symmetry_space_group_name_H-M 'R 3 m'
_symmetry_Int_Tables_number 160
_symmetry_space_group_name_Hall 'R 3 -2"'
loop_
_atom_site_label
_atom_site_type_symbol
_atom_site_fract_x
_atom_site_fract_y
_atom_site_fract_z
_atom_site_occupancy
Ac1 Ac 0.0000 0.0000 0.0000 1
Pu1 Pu 0.0000 0.0000 0.8296 1
As1 As 0.0000 0.0000 0.4193 1
S1 S 0.0000 0.0000 0.5780 1
# * Fermi-level density of states: 12.46 states/eV/f.u.

Decreasing stability: (Q), (P)

(P)
# AcPuAsSe | Alexandria via LeMat-Bulk | PBE | relaxed
data_AcPuAsSe
_chemical_formula_sum 'Ac4 Pu4 As4 Se4'
_cell_length_a 7.478
_cell_length_b 7.478
_cell_length_c 7.478
_cell_angle_alpha 90.00
_cell_angle_beta 90.00
_cell_angle_gamma 90.00
_symmetry_space_group_name_H-M 'F -4 3 m'
_symmetry_Int_Tables_number 216
_symmetry_space_group_name_Hall 'F -4 2 3'
loop_
_atom_site_label
_atom_site_type_symbol
_atom_site_fract_x
_atom_site_fract_y
_atom_site_fract_z
_atom_site_occupancy
Ac1 Ac 0.000 0.000 0.000 1
Pu1 Pu 0.000 0.000 0.500 1
As1 As 0.250 0.250 0.250 1
Se1 Se 0.250 0.250 0.750 1
# * Fermi-level density of states: 6.82 states/eV/f.u.

(Q)
# AcPuAsSe | Alexandria via LeMat-Bulk | PBE | relaxed
data_AcPuAsSe
_chemical_formula_sum 'Ac3 Pu3 As3 Se3'
_cell_length_a 4.2677
_cell_length_b 4.2677
_cell_length_c 22.6610
_cell_angle_alpha 90.00
_cell_angle_beta 90.00
_cell_angle_gamma 120.00
_symmetry_space_group_name_H-M 'R 3 m'
_symmetry_Int_Tables_number 160
_symmetry_space_group_name_Hall 'R 3 -2"'
loop_
_atom_site_label
_atom_site_type_symbol
_atom_site_fract_x
_atom_site_fract_y
_atom_site_fract_z
_atom_site_occupancy
Ac1 Ac 0.0000 0.0000 0.0000 1
Pu1 Pu 0.0000 0.0000 0.8233 1
As1 As 0.0000 0.0000 0.4159 1
Se1 Se 0.0000 0.0000 0.5748 1
# * Fermi-level density of states: 13.74 states/eV/f.u.

Decreasing stability: (Q), (P)